1.
Below is crystalline K2MgGa3Ge4 at its relaxed geometry, with properties calculated at the GGA-PBE level.

Output
SG: No. 115
D(E_F) (states/eV/atom): 0.36
Calculated formation energy (eV/atom): -0.1428
Electronic total energy (eV per atom): -3.277
Mass density (g/cm³): 4.32
Crystal system: tetragonal

```
K2MgGa3Ge4
1.0
-3.700 2.738 0.472
-1.765 -2.923 3.124
5.017 5.417 7.903
K Mg Ga Ge
2 1 3 4
direct
0.500 0.000 0.245
0.000 0.500 0.755
0.500 0.500 0.500
0.000 0.000 0.500
0.500 0.000 0.873
0.000 0.500 0.127
0.500 0.500 0.000
0.000 0.000 0.000
0.500 0.000 0.635
0.000 0.500 0.365
```

2.
Below is crystalline Mg2ZrHg at its relaxed geometry, with properties calculated at the GGA-PBE level.

Output
SG: No. 123
D(E_F) (states/eV/atom): 0.72
Calculated formation energy (eV/atom): -0.0935
Electronic total energy (eV per atom): -3.103
Mass density (g/cm³): 6.52
Crystal system: tetragonal

```
Mg2ZrHg
1.0
-1.511 -1.313 2.532
-1.263 -2.261 -1.927
6.598 -4.883 1.404
Mg Hg Zr
2 1 1
direct
0.000 0.000 0.986
0.000 0.000 0.514
0.500 0.500 0.750
0.500 0.500 0.250
```

3.
Below is crystalline BiSbPbO6 at its relaxed geometry, with properties calculated at the GGA-PBE level.

Output
SG: No. 163
D(E_F) (states/eV/atom): 0.00
Raw formation energy (kJ/mol of atoms): -115.24
Electronic total energy (eV per atom): -5.801
Mass density (g/cm³): 7.93
Crystal system: trigonal

```
BiSbPbO6
1.0
-4.870 1.838 1.933
0.619 -1.047 -5.418
-2.953 -9.373 1.474
Bi Sb Pb O
2 2 2 12
direct
0.000 0.000 0.000
0.000 0.000 0.500
0.667 0.333 0.250
0.333 0.667 0.750
0.333 0.667 0.250
0.667 0.333 0.750
0.654 0.629 0.136
0.976 0.346 0.136
0.346 0.976 0.636
0.024 0.654 0.864
0.371 0.346 0.364
0.976 0.629 0.364
0.629 0.976 0.864
0.654 0.024 0.364
0.024 0.371 0.636
0.371 0.024 0.136
0.629 0.654 0.636
0.346 0.371 0.864
```